Density functional theory data (PBE-GGA) for a relaxed structure of Cs5Te2AuO.

* theoretical density: 4.89 g cm⁻³
* formation energy from raw total energies: -6.61 eV/f.u.
* volume: 384.6 Å³/cell

Unit cell a=8.0934 b=8.0934 c=8.0934 alpha=93.19 beta=118.18 gamma=118.18
Closest atoms and distances in Å follow each position.
Element x y z (fractional)
Te: 0.5000 0.7440 0.2440  10 Cs 4.04-4.16, 2 Au 4.22
Te: 0.5000 0.2440 0.7440  10 Cs 4.04-4.16, 2 Au 4.22
Cs: 0.5046 0.7455 0.7455  1 O 2.91
Cs: 0.4954 0.2409 0.2409  1 O 2.91
Cs: 0.0000 0.2409 0.7455  1 O 2.91
Cs: 0.0000 0.2371 0.2371  1 O 2.69
Cs: 0.0000 0.7455 0.2409  1 O 2.91
O: 0.0000 0.9954 0.9954  1 Au 2.10
Au: 0.0000 0.8068 0.8068  1 O 2.10